Run w
Below is crystalline ScHg2Os at its relaxed geometry, with properties calculated at the GGA-PBE level.

Cell lengths 4.124, 4.124, 4.393 Å; angles 90.00, 90.00, 90.00 degrees
Positions (direct):
Os  0.500  0.000  0.500
Sc  0.000  0.500  0.500
Hg  0.500  0.500  0.000
Hg  0.000  0.000  0.000

## Properties
N(E_F) ... 2.4 states/eV/f.u.
Total magnetization ... 0.00 μB/cell
V ... 18.7 Å³/atom

Run x
Below is crystalline ScHg2Os at its relaxed geometry, with properties calculated at the GGA-PBE level.

Cell lengths 5.198, 5.198, 5.198 Å; angles 132.13, 132.90, 69.42 degrees
Positions (direct):
Os  0.502  0.502  0.000
Hg  0.751  0.251  0.500
Hg  0.000  0.000  0.000
Sc  0.248  0.748  0.500

## Properties
N(E_F) ... 1.9 states/eV/f.u.
Total magnetization ... 0.00 μB/cell
V ... 18.7 Å³/atom

Stability ranking, top entry: run w; the second entry is 21 meV per atom less favorable.

Run w
Below is crystalline OsRuPb2 at its relaxed geometry, with properties calculated at the GGA-PBE level.

Cell lengths 4.658, 4.658, 5.625 Å; angles 78.42, 78.42, 40.67 degrees
Positions (direct):
Ru  0.750  0.750  0.750
Pb  0.499  0.499  0.500
Pb  0.001  0.001  0.000
Os  0.250  0.250  0.250

## Properties
N(E_F) ... 3.8 states/eV/f.u.
Total magnetization ... 0.00 μB/cell
V ... 19.4 Å³/atom

Run x
Below is crystalline OsRuPb2 at its relaxed geometry, with properties calculated at the GGA-PBE level.

Cell lengths 2.978, 3.560, 8.453 Å; angles 90.00, 90.00, 90.00 degrees
Positions (direct):
Ru  0.000  0.000  0.557
Os  0.500  0.500  0.692
Pb  0.000  0.000  0.935
Pb  0.500  0.500  0.316

## Properties
N(E_F) ... 2.4 states/eV/f.u.
Total magnetization ... 0.00 μB/cell
V ... 22.4 Å³/atom

Stability ranking, top entry: run x; the second entry is 426 meV per atom less favorable.

Run w
Below is crystalline K3TeH at its relaxed geometry, with properties calculated at the GGA-PBE level.

Cell lengths 4.278, 9.489, 9.489 Å; angles 116.10, 90.00, 90.00 degrees
Positions (direct):
H  0.000  0.335  0.665
Te  0.500  0.335  0.665
K  0.500  0.941  0.484
K  0.000  0.501  0.499
K  0.500  0.516  0.059

## Properties
N(E_F) ... 1.8 states/eV/f.u.
Total magnetization ... 0.00 μB/cell
V ... 69.2 Å³/atom

Run x
Below is crystalline K3TeH at its relaxed geometry, with properties calculated at the GGA-PBE level.

Cell lengths 20.956, 8.237, 8.237 Å; angles 140.96, 149.55, 30.45 degrees
Positions (direct):
K  0.500  0.637  0.363
K  0.500  0.363  0.637
K  0.804  0.764  0.236
K  0.816  0.477  0.523
Te  0.846  0.071  0.929
Te  0.154  0.929  0.071
H  0.500  0.818  0.182
K  0.196  0.236  0.764
K  0.184  0.523  0.477
H  0.500  0.182  0.818

## Properties
N(E_F) ... 0.0 states/eV/f.u.
Total magnetization ... 0.00 μB/cell
V ... 36.2 Å³/atom

Stability ranking, top entry: run x; the second entry is 454 meV per atom less favorable.

Run w
Below is crystalline PmInNi at its relaxed geometry, with properties calculated at the GGA-PBE level.

Cell lengths 4.649, 4.649, 4.649 Å; angles 60.00, 60.00, 60.00 degrees
Positions (direct):
Ni  0.250  0.250  0.250
In  0.000  0.000  0.000
Pm  0.500  0.500  0.500

## Properties
N(E_F) ... 4.7 states/eV/f.u.
Total magnetization ... 0.00 μB/cell
V ... 23.7 Å³/atom

Run x
Below is crystalline PmInNi at its relaxed geometry, with properties calculated at the GGA-PBE level.

Cell lengths 3.810, 7.690, 13.300 Å; angles 90.00, 90.00, 90.00 degrees
Positions (direct):
Ni  0.500  0.945  0.908
In  0.500  0.202  0.750
Ni  0.500  0.055  0.092
Ni  0.000  0.547  0.250
In  0.500  0.426  0.123
Ni  0.500  0.055  0.408
In  0.500  0.574  0.877
Pm  0.000  0.860  0.750
Pm  0.000  0.226  0.544
Pm  0.000  0.140  0.250
In  0.500  0.798  0.250
In  0.500  0.426  0.377
Ni  0.500  0.945  0.592
Pm  0.000  0.774  0.044
Ni  0.000  0.453  0.750
Pm  0.000  0.774  0.456
In  0.500  0.574  0.623
Pm  0.000  0.226  0.956

## Properties
N(E_F) ... 2.3 states/eV/f.u.
Total magnetization ... 0.00 μB/cell
V ... 21.6 Å³/atom

Stability ranking, top entry: run x; the second entry is 146 meV per atom less favorable.

Run w
Below is crystalline AlCo2Pb at its relaxed geometry, with properties calculated at the GGA-PBE level.

Cell lengths 8.067, 8.067, 8.067 Å; angles 21.67, 21.67, 21.67 degrees
Last column: magnetic moment on the atom in μB.
Positions (direct):
Co  0.008  0.008  0.008  0.69
Co  0.492  0.492  0.492  0.69
Al  0.750  0.750  0.750  -0.02
Pb  0.250  0.250  0.250  0.00

## Properties
N(E_F) ... 5.4 states/eV/f.u.
Total magnetization ... 1.26 μB/cell
V ... 15.7 Å³/atom

Run x
Below is crystalline AlCo2Pb at its relaxed geometry, with properties calculated at the GGA-PBE level.

Cell lengths 8.563, 8.563, 8.563 Å; angles 20.59, 20.59, 20.59 degrees
Last column: magnetic moment on the atom in μB.
Positions (direct):
Co  0.997  0.997  0.997  1.45
Pb  0.508  0.508  0.508  -0.01
Co  0.264  0.264  0.264  1.73
Al  0.731  0.731  0.731  -0.01

## Properties
N(E_F) ... 4.7 states/eV/f.u.
Total magnetization ... 3.07 μB/cell
V ... 17.0 Å³/atom

Stability ranking, top entry: run w; the second entry is 68 meV per atom less favorable.